TlTcSe: optimized geometry, PBEsol.

The structure in POSCAR format:
```
TlTcSe
1.0
-1.211 -1.678 -2.497
3.026 1.158 -0.139
2.205 -5.450 2.593
Tc Tl Se
1 1 1
Cartesian
1.752 -4.566 0.112
2.398 -1.726 -0.003
2.075 -5.129 2.440
```

Calculated values
**Crystal system**: trigonal
**Uncorrected formation energy**: 60.3 meV per atom
**Theoretical density**: 10.82 g cm⁻³